Entry 1:
A plane-wave DFT calculation with PBE was carried out for an optimized crystal structure of Hf2CuOs.

formation energy from the elements	-9.79	kcal/mol of atoms
ΔE to the lowest computed polymorph	3.1	meV/atom
M_tot	0.02	μB per cell

Lattice parameters (Å, degrees): 6.472 6.435 6.565 90.00 90.00 90.00
Sites, in units of the cell vectors:
1 Os 0.500 0.750 0.000
2 Os 0.000 0.750 0.500
3 Os 0.000 0.250 0.500
4 Os 0.500 0.250 0.000
5 Hf 0.750 0.000 0.750
6 Hf 0.750 0.500 0.250
7 Hf 0.250 0.000 0.250
8 Hf 0.250 0.500 0.750
9 Hf 0.750 0.500 0.750
10 Hf 0.250 0.000 0.750
11 Hf 0.750 0.000 0.250
12 Hf 0.250 0.500 0.250
13 Cu 0.500 0.750 0.500
14 Cu 0.500 0.250 0.500
15 Cu 0.000 0.750 0.000
16 Cu 0.000 0.250 0.000

=====

Entry 2:
A plane-wave DFT calculation with PBE was carried out for an optimized crystal structure of CuBiPF.

ΔE to the lowest computed polymorph	170.7	meV/atom

Lattice parameters (Å, degrees): 6.315 6.536 7.377 90.00 90.00 90.00
Sites, in units of the cell vectors:
1 F 0.304 0.247 0.530
2 F 0.696 0.747 0.970
3 F 0.196 0.753 0.030
4 F 0.804 0.253 0.470
5 Cu 0.868 0.955 0.501
6 Cu 0.368 0.545 0.499
7 Cu 0.632 0.045 0.001
8 Cu 0.132 0.455 0.999
9 P 0.051 0.679 0.581
10 P 0.949 0.179 0.919
11 P 0.449 0.321 0.081
12 P 0.551 0.821 0.419
13 Bi 0.762 0.531 0.236
14 Bi 0.262 0.969 0.764
15 Bi 0.738 0.469 0.736
16 Bi 0.238 0.031 0.264

=====

Entry 3:
A plane-wave DFT calculation with PBE was carried out for an optimized crystal structure of Hf2TaSi2.

ΔE to the lowest computed polymorph	0.0	meV/atom
M_tot	0.01	μB per cell

Lattice parameters (Å, degrees): 6.823 6.823 3.709 90.00 90.00 90.00
Sites, in units of the cell vectors:
1 Hf 0.675 0.825 0.500
2 Hf 0.175 0.675 0.500
3 Hf 0.325 0.175 0.500
4 Hf 0.825 0.325 0.500
5 Ta 0.500 0.500 0.000
6 Ta 0.000 0.000 0.000
7 Si 0.874 0.626 0.000
8 Si 0.374 0.874 0.000
9 Si 0.126 0.374 0.000
10 Si 0.626 0.126 0.000

=====

Entry 4:
A plane-wave DFT calculation with PBE was carried out for an optimized crystal structure of HfSbNO.

ΔE to the lowest computed polymorph	0.0	meV/atom
M_tot	0.00	μB per cell

Lattice parameters (Å, degrees): 3.440 5.950 8.106 90.00 90.00 90.00
Sites, in units of the cell vectors:
1 O 0.500 0.832 0.930
2 O 0.500 0.332 0.070
3 N 0.000 0.441 0.747
4 N 0.000 0.941 0.253
5 Sb 0.000 0.969 0.508
6 Sb 0.000 0.469 0.492
7 Hf 0.500 0.512 0.870
8 Hf 0.500 0.012 0.130

=====

Entry 5:
A plane-wave DFT calculation with PBE was carried out for an optimized crystal structure of Sc4TlCuC2.

VASP energy	-6.63	eV per atom
M_tot	0.02	μB per cell

Lattice parameters (Å, degrees): 3.379 3.379 14.077 90.00 90.00 120.00
Sites, in units of the cell vectors:
1 Sc 0.000 0.000 0.316
2 Sc 0.000 0.000 0.684
3 Sc 0.667 0.333 0.856
4 Sc 0.667 0.333 0.144
5 Tl 0.667 0.333 0.500
6 Cu 0.000 0.000 0.000
7 C 0.333 0.667 0.229
8 C 0.333 0.667 0.771

=====

Entry 6:
A plane-wave DFT calculation with PBE was carried out for an optimized crystal structure of SmDyNCl3.

ΔE to the lowest computed polymorph	22.6	meV/atom
M_tot	0.01	μB per cell

Lattice parameters (Å, degrees): 8.354 8.354 10.711 120.26 120.26 26.88
Sites, in units of the cell vectors:
1 N 0.422 0.422 0.841
2 N 0.578 0.578 0.159
3 Cl 0.774 0.774 0.881
4 Cl 0.666 0.666 0.512
5 Cl 0.043 0.043 0.740
6 Cl 0.957 0.957 0.260
7 Cl 0.226 0.226 0.119
8 Cl 0.334 0.334 0.488
9 Dy 0.139 0.139 0.293
10 Dy 0.861 0.861 0.707
11 Sm 0.413 0.413 0.048
12 Sm 0.587 0.587 0.952

=====

Entry 7:
A plane-wave DFT calculation with PBE was carried out for an optimized crystal structure of Gd2ZnAs2.

VASP energy	-4.93	eV per atom
M_tot	0.02	μB per cell

Lattice parameters (Å, degrees): 9.079 9.079 6.293 90.00 90.00 154.21
Sites, in units of the cell vectors:
1 As 0.586 0.414 0.961
2 As 0.414 0.586 0.461
3 As 0.177 0.823 0.427
4 As 0.823 0.177 0.927
5 Zn 0.609 0.391 0.563
6 Zn 0.391 0.609 0.063
7 Gd 0.017 0.983 0.249
8 Gd 0.983 0.017 0.749
9 Gd 0.799 0.201 0.435
10 Gd 0.201 0.799 0.935

=====

Entry 8:
A plane-wave DFT calculation with PBE was carried out for an optimized crystal structure of Na4GaSnAu2.

VASP energy	-2.59	eV per atom

Lattice parameters (Å, degrees): 4.905 4.905 7.043 90.00 90.00 90.00
Sites, in units of the cell vectors:
1 Sn 0.500 0.500 0.500
2 Ga 0.000 0.000 0.000
3 Au 0.500 0.000 0.240
4 Au 0.000 0.500 0.760
5 Na 0.500 0.500 0.000
6 Na 0.500 0.000 0.765
7 Na 0.000 0.500 0.235
8 Na 0.000 0.000 0.500

=====

Entry 9:
A plane-wave DFT calculation with PBE was carried out for an optimized crystal structure of Ag5B.

VASP energy	-2.56	eV per atom

Lattice parameters (Å, degrees): 5.356 5.356 4.831 90.00 90.00 120.00
Sites, in units of the cell vectors:
1 Ag 0.000 0.500 0.500
2 Ag 0.333 0.667 0.000
3 Ag 0.500 0.000 0.500
4 Ag 0.667 0.333 0.000
5 Ag 0.500 0.500 0.500
6 B 0.000 0.000 0.000

=====

Entry 10:
A plane-wave DFT calculation with PBE was carried out for an optimized crystal structure of DyHoGe2Pd.

VASP energy	-5.65	eV per atom
M_tot	0.63	μB per cell

Lattice parameters (Å, degrees): 5.732 5.732 10.261 115.31 115.31 44.37
Sites, in units of the cell vectors:
1 Pd 0.277 0.277 0.645
2 Pd 0.723 0.723 0.355
3 Dy 0.816 0.816 0.893
4 Dy 0.184 0.184 0.107
5 Ge 0.474 0.474 0.117
6 Ge 0.363 0.363 0.430
7 Ge 0.526 0.526 0.883
8 Ge 0.637 0.637 0.570
9 Ho 0.006 0.006 0.328
10 Ho 0.994 0.994 0.672

=====

Entry 11:
A plane-wave DFT calculation with PBE was carried out for an optimized crystal structure of HfSc2Hg.

formation energy from the elements	1.49	kcal/mol of atoms
M_tot	1.73	μB per cell

Lattice parameters (Å, degrees): 4.972 4.972 4.972 60.00 60.00 60.00
Sites, in units of the cell vectors:
1 Sc 0.000 0.000 0.000
2 Sc 0.750 0.750 0.750
3 Hg 0.500 0.500 0.500
4 Hf 0.250 0.250 0.250

=====

Entry 12:
A plane-wave DFT calculation with PBE was carried out for an optimized crystal structure of KErHgTe3.

VASP energy	-3.50	eV per atom
M_tot	0.01	μB per cell

Lattice parameters (Å, degrees): 9.025 4.483 11.277 90.00 108.49 90.00
Sites, in units of the cell vectors:
1 Te 0.949 0.750 0.643
2 Te 0.579 0.250 0.361
3 Te 0.421 0.750 0.639
4 Te 0.757 0.750 0.060
5 Te 0.243 0.250 0.940
6 Te 0.051 0.250 0.357
7 K 0.749 0.250 0.782
8 K 0.251 0.750 0.218
9 Er 0.180 0.250 0.639
10 Er 0.820 0.750 0.361
11 Hg 0.583 0.250 0.115
12 Hg 0.417 0.750 0.885